(1)
Compound: Cs2LaRe3O12
Source: Alexandria via LeMat-Bulk
Functional: GGA-PBE
Structure: optimized geometry

Cell: 7.774 7.774 7.774 Å, 57.31 57.31 57.31°
Each line ends with the local moment (μB).
Sites, in units of the cell vectors:
Cs 0.613 0.613 0.613  0.00
Cs 0.387 0.387 0.387  0.00
La 0.000 0.000 0.000  0.00
Re 0.500 0.000 0.000  0.21
Re 0.000 0.500 0.000  0.21
Re 0.000 0.000 0.500  0.21
O 0.298 0.298 0.926  0.04
O 0.920 0.920 0.375  -0.01
O 0.375 0.920 0.920  -0.01
O 0.926 0.298 0.298  0.04
O 0.920 0.375 0.920  -0.01
O 0.298 0.926 0.298  0.04
O 0.702 0.702 0.074  0.04
O 0.080 0.080 0.625  -0.01
O 0.625 0.080 0.080  -0.01
O 0.074 0.702 0.702  0.04
O 0.080 0.625 0.080  -0.01
O 0.702 0.074 0.702  0.04

## Properties
- symmetry = No. 166
- uncorrected formation energy (meV/atom) = -1930


(2)
Compound: CuSb2Br
Source: Alexandria via LeMat-Bulk
Functional: GGA-PBE
Structure: optimized geometry

Cell: 5.125 5.125 5.125 Å, 60.00 60.00 60.00°
Sites, in units of the cell vectors:
Br 0.500 0.500 0.500
Cu 0.250 0.250 0.250
Sb 0.000 0.000 0.000
Sb 0.750 0.750 0.750

## Properties
- excess energy over the best structure of this formula in the dataset (meV per atom) = 404
- symmetry = No. 216
- uncorrected formation energy (meV/atom) = 335


(3)
Compound: Ho2CuTe4
Source: Alexandria via LeMat-Bulk
Functional: GGA-PBE
Structure: optimized geometry

Cell: 7.531 6.224 8.586 Å, 90.00 106.42 90.00°
Sites, in units of the cell vectors:
Ho 0.782 0.750 0.071
Ho 0.218 0.250 0.929
Ho 0.251 0.250 0.438
Ho 0.749 0.750 0.562
Cu 0.218 0.750 0.177
Cu 0.782 0.250 0.823
Te 0.509 0.496 0.247
Te 0.070 0.750 0.874
Te 0.930 0.250 0.126
Te 0.509 0.004 0.247
Te 0.923 0.250 0.589
Te 0.491 0.996 0.753
Te 0.491 0.504 0.753
Te 0.077 0.750 0.411

## Properties
- symmetry = No. 11
- uncorrected formation energy (meV/atom) = -930


(4)
Compound: Ti2HgSeO
Source: Alexandria via LeMat-Bulk
Functional: GGA-PBE
Structure: optimized geometry

Cell: 4.004 5.582 4.004 Å, 90.00 90.00 90.00°
Each line ends with the local moment (μB).
Sites, in units of the cell vectors:
O 0.000 0.000 0.000  -0.01
Hg 0.500 0.500 0.500  0.00
Se 0.000 0.500 0.000  -0.01
Ti 0.000 0.000 0.500  0.31
Ti 0.500 0.000 0.000  0.19

## Properties
- symmetry = No. 123
- uncorrected formation energy (meV/atom) = -660


(5)
Compound: Ta2TlC
Source: Alexandria via LeMat-Bulk
Functional: GGA-PBE
Structure: optimized geometry

Cell: 5.526 5.526 6.737 Å, 65.78 65.78 90.00°
Sites, in units of the cell vectors:
Tl 0.000 0.000 0.000
Tl 0.750 0.250 0.500
C 0.500 0.500 0.000
C 0.250 0.750 0.500
Ta 0.492 0.125 0.250
Ta 0.258 0.625 0.250
Ta 0.375 0.508 0.750
Ta 0.875 0.742 0.750

## Properties
- symmetry = No. 122
- formation energy from the elements (eV per atom) = 0.7922


(6)
Compound: Ca2Sb2Au
Source: Alexandria via LeMat-Bulk
Functional: GGA-PBE
Structure: optimized geometry

Cell: 6.153 6.153 6.126 Å, 59.85 59.85 90.00°
Sites, in units of the cell vectors:
Sb 0.319 0.319 0.361
Sb 0.681 0.681 0.639
Ca 0.750 0.250 0.500
Ca 0.250 0.750 0.500
Au 0.000 0.000 0.000

## Properties
- excess energy over the best structure of this formula in the dataset (meV per atom) = 139
- symmetry = No. 139
- uncorrected formation energy (meV/atom) = -534


(7)
Compound: DyErS2O
Source: Alexandria via LeMat-Bulk
Functional: GGA-PBE
Structure: optimized geometry

Cell: 3.845 3.845 13.812 Å, 90.00 90.00 90.00°
Sites, in units of the cell vectors:
Dy 0.500 0.000 0.583
Dy 0.000 0.500 0.417
Er 0.500 0.000 0.125
Er 0.000 0.500 0.875
S 0.000 0.500 0.696
S 0.000 0.500 0.090
S 0.500 0.000 0.910
S 0.500 0.000 0.304
O 0.000 0.000 0.500
O 0.500 0.500 0.500

## Properties
- symmetry = No. 129
- uncorrected formation energy (meV/atom) = -2541


(8)
Compound: LuGaPd
Source: Alexandria via LeMat-Bulk
Functional: GGA-PBE
Structure: optimized geometry

Cell: 4.510 4.510 4.510 Å, 60.00 60.00 60.00°
Sites, in units of the cell vectors:
Lu 0.500 0.500 0.500
Ga 0.000 0.000 0.000
Pd 0.250 0.250 0.250

## Properties
- symmetry = No. 216
- formation energy from the elements (eV per atom) = -0.6903